# 1
DFT (PBE-GGA) results for an optimized crystal structure of DyTl3Br6.

Output
* energy relative to the elements, uncorrected: -1.29 eV/atom
* total magnetic moment: 0.0 μB per formula unit

abc: 7.7927 8.6024 11.3505
angles: 90.00 86.69 90.00
Atoms (fractional coordinates):
Dy 0.5000 0.5000 0.5000
Dy 0.0000 0.0000 0.0000
Tl 0.5301 0.9212 0.7680
Tl 0.5000 0.5000 0.0000
Tl 0.4699 0.0788 0.2320
Tl 0.0301 0.5788 0.2680
Tl 0.0000 0.0000 0.5000
Tl 0.9699 0.4212 0.7320
Br 0.7015 0.1678 0.9544
Br 0.6586 0.2269 0.5785
Br 0.6350 0.4385 0.2695
Br 0.3650 0.5615 0.7305
Br 0.3414 0.7731 0.4215
Br 0.2985 0.8322 0.0456
Br 0.2015 0.3322 0.4544
Br 0.1586 0.2731 0.0785
Br 0.1350 0.0615 0.7695
Br 0.8650 0.9385 0.2305
Br 0.8414 0.7269 0.9215
Br 0.7985 0.6678 0.5456

=====

# 2
DFT (PBE-GGA) results for an optimized crystal structure of DyTl2Br5.

Output
* energy relative to the elements, uncorrected: -1.37 eV/atom
* total magnetic moment: 0.0 μB per formula unit

abc: 7.9713 9.5516 10.1637
angles: 64.29 66.91 65.34
Atoms (fractional coordinates):
Dy 0.9504 0.7832 0.3146
Dy 0.9518 0.2832 0.8146
Tl 0.6339 0.4706 0.3172
Tl 0.2652 0.0970 0.3123
Tl 0.5784 0.9706 0.8172
Tl 0.3254 0.5970 0.8123
Br 0.6956 0.3113 0.6754
Br 0.0385 0.5472 0.1850
Br 0.2087 0.2559 0.9528
Br 0.3176 0.8113 0.1754
Br 0.2294 0.0472 0.6850
Br 0.5827 0.7559 0.4528
Br 0.6743 0.5195 0.9443
Br 0.8619 0.0195 0.4443
Br 0.8020 0.0337 0.0645
Br 0.0998 0.5337 0.5645